{
  "formula": "PuIn4Pd15",
  "functional": "PBE-GGA",
  "state": "optimized geometry",
  "m_tot_mub_per_fu": 4.28,
  "e_tot_ev_per_atom": -5.62,
  "cell": [[4.0730, 0.0000, 0.0000], [0.0000, 4.0730, 0.0000], [0.0000, 0.0000, 20.1706]],
  "species": ["Pu", "In", "In", "In", "In", "Pd", "Pd", "Pd", "Pd", "Pd", "Pd", "Pd", "Pd", "Pd", "Pd", "Pd", "Pd", "Pd", "Pd", "Pd"],
  "frac_coords": [[0.0000, 0.0000, 0.0000], [0.0000, 0.0000, 0.2049], [0.0000, 0.0000, 0.4012], [0.0000, 0.0000, 0.5988], [0.0000, 0.0000, 0.7951], [0.5000, 0.5000, 0.0000], [0.5000, 0.5000, 0.2023], [0.5000, 0.5000, 0.4012], [0.5000, 0.5000, 0.5988], [0.5000, 0.5000, 0.7977], [0.5000, 0.0000, 0.1026], [0.5000, 0.0000, 0.3024], [0.5000, 0.0000, 0.5000], [0.5000, 0.0000, 0.6976], [0.5000, 0.0000, 0.8974], [0.0000, 0.5000, 0.1026], [0.0000, 0.5000, 0.3024], [0.0000, 0.5000, 0.5000], [0.0000, 0.5000, 0.6976], [0.0000, 0.5000, 0.8974]]
}


{
  "formula": "Pu3InPd2",
  "functional": "PBE-GGA",
  "state": "optimized geometry",
  "m_tot_mub_per_fu": 17.47,
  "e_above_lowest_polymorph_ev_per_atom": 0.2293,
  "cell": [[7.7512, 0.8801, 0.6859], [3.3385, 7.0506, 0.6859], [3.3385, 2.3875, 6.6694]],
  "species": ["Pu", "Pu", "Pu", "Pu", "Pu", "Pu", "In", "In", "Pd", "Pd", "Pd", "Pd"],
  "frac_coords": [[0.4761, 0.0239, 0.7500], [0.0239, 0.7500, 0.4761], [0.7500, 0.4761, 0.0239], [0.5239, 0.9761, 0.2500], [0.9761, 0.2500, 0.5239], [0.2500, 0.5239, 0.9761], [0.5000, 0.5000, 0.5000], [0.0000, 0.0000, 0.0000], [0.3585, 0.3585, 0.3585], [0.1415, 0.1415, 0.1415], [0.8585, 0.8585, 0.8585], [0.6415, 0.6415, 0.6415]]
}


{
  "formula": "PuIn3Pd2",
  "functional": "PBE-GGA",
  "state": "optimized geometry",
  "m_tot_mub_per_fu": 5.62,
  "e_tot_ev_per_atom": -5.76,
  "cell": [[-5.6068, 3.4941, -0.3297], [-4.6982, -0.8459, 4.5787], [-0.5567, 5.8670, 5.2906]],
  "species": ["Pu", "Pu", "In", "In", "In", "In", "In", "In", "Pd", "Pd", "Pd", "Pd"],
  "frac_coords": [[0.7736, 0.7736, 0.6793], [0.2264, 0.2264, 0.3207], [0.2361, 0.7325, 0.2989], [0.7325, 0.2361, 0.2989], [0.7325, 0.7325, 0.2989], [0.2675, 0.7639, 0.7011], [0.7639, 0.2675, 0.7011], [0.2675, 0.2675, 0.7011], [0.0000, 0.0000, 0.0000], [0.0000, 0.5000, 0.0000], [0.5000, 0.5000, 0.0000], [0.5000, 0.0000, 0.0000]]
}


{
  "formula": "PuIn2Pd",
  "functional": "PBE-GGA",
  "state": "optimized geometry",
  "m_tot_mub_per_fu": 5.65,
  "e_above_lowest_polymorph_ev_per_atom": 0.1835,
  "cell": [[-2.7876, 3.0575, -2.6121], [-3.4963, -2.4277, 0.8896], [-0.7401, 2.3733, 3.5678]],
  "species": ["In", "In", "Pd", "Pu"],
  "frac_coords": [[0.0000, 0.0000, 0.5000], [0.0000, 0.5000, 0.0000], [0.5000, 0.0000, 0.0000], [0.5000, 0.5000, 0.5000]]
}


{
  "formula": "PuInPd",
  "functional": "PBE-GGA",
  "state": "optimized geometry",
  "m_tot_mub_per_fu": 5.96,
  "e_tot_ev_per_atom": -7.81,
  "cell": [[5.3199, -0.0469, 1.0553], [-2.8194, 4.8375, -0.6005], [0.3961, -2.3723, 5.2852]],
  "species": ["Pd", "Pd", "In", "In", "Pu", "Pu"],
  "frac_coords": [[0.4996, 0.2501, 0.0000], [0.5004, 0.7499, 0.0000], [0.9998, 0.6577, 0.8151], [0.0002, 0.3423, 0.1849], [0.6757, 0.8384, 0.5011], [0.3243, 0.1616, 0.4989]]
}


{
  "formula": "PuIn5Pd3",
  "functional": "PBE-GGA",
  "state": "optimized geometry",
  "m_tot_mub_per_fu": 5.61,
  "e_tot_ev_per_atom": -5.21,
  "cell": [[4.2234, 0.0000, 0.0000], [-2.1117, 5.0624, 0.0000], [0.0000, 0.0000, 18.7953]],
  "species": ["Pu", "Pu", "In", "In", "In", "In", "In", "In", "In", "In", "In", "In", "Pd", "Pd", "Pd", "Pd", "Pd", "Pd"],
  "frac_coords": [[0.8254, 0.6508, 0.7500], [0.1746, 0.3492, 0.2500], [0.7468, 0.4935, 0.3862], [0.2532, 0.5065, 0.8862], [0.0000, 0.0000, 0.5000], [0.0000, 0.0000, 0.0000], [0.4670, 0.9340, 0.1582], [0.5330, 0.0660, 0.8418], [0.5330, 0.0660, 0.6582], [0.7468, 0.4935, 0.1138], [0.2532, 0.5065, 0.6138], [0.4670, 0.9340, 0.3418], [0.3334, 0.6668, 0.0299], [0.8851, 0.7702, 0.2500], [0.3334, 0.6668, 0.4701], [0.6666, 0.3332, 0.5299], [0.1149, 0.2298, 0.7500], [0.6666, 0.3332, 0.9701]]
}